1.
Mg6ZnPd12: relaxed, PBE-GGA.

abc: 6.762 6.762 6.762
angles: 91.80 91.80 91.80
Element x y z (fractional)
Mg1 0.204 0.377 0.771
Mg2 0.229 0.796 0.623
Mg3 0.377 0.771 0.204
Mg4 0.623 0.229 0.796
Mg5 0.771 0.204 0.377
Mg6 0.796 0.623 0.229
Zn1 0.500 0.500 0.500
Pd1 0.044 0.948 0.295
Pd2 0.052 0.705 0.956
Pd3 0.144 0.477 0.364
Pd4 0.295 0.044 0.948
Pd5 0.364 0.144 0.477
Pd6 0.477 0.364 0.144
Pd7 0.523 0.636 0.856
Pd8 0.636 0.856 0.523
Pd9 0.705 0.956 0.052
Pd10 0.856 0.523 0.636
Pd11 0.948 0.295 0.044
Pd12 0.956 0.052 0.705

DFT formation energy	-471	meV/atom

2.
Mg4ZnPd: relaxed, PBE-GGA.

abc: 4.510 4.510 6.443
angles: 90.00 90.00 90.00
Element x y z (fractional)
Mg1 0.000 0.500 0.240
Mg2 0.000 0.500 0.760
Mg3 0.500 0.000 0.240
Mg4 0.500 0.000 0.760
Zn1 0.000 0.000 0.500
Pd1 0.500 0.500 0.000

DFT formation energy	-189	meV/atom
energy above the most stable polymorph in this dataset	150.3	meV per atom